Record 1
Material: SrZrMo
Method: DFT, meta-GGA SCAN
State: PBEsol geometry Values from VASP.

Quantum ESPRESSO input file:
```
&SYSTEM
  ibrav = 0, nat = 3, ntyp = 3
/
ATOMIC_SPECIES
Mo 95.94 Mo.upf
Sr 87.62 Sr.upf
Zr 91.22 Zr.upf
CELL_PARAMETERS angstrom
-2.345 -0.179 -2.621
2.160 -2.130 -1.787
-2.479 -3.659 4.833
ATOMIC_POSITIONS crystal
Mo 0.965 0.965 0.930
Sr 0.657 0.657 0.313
Zr 0.378 0.378 0.756
```

Output
E above lowest polymorph, eV/f.u.: 0.00
DFT formation energy, meV per atom: 555
DOS(E_F), states/eV/cell: 2.911
SG: I4mm
Total energy, eV/cell: -86.193

Record 2
Material: SrZrMo2
Method: DFT, meta-GGA SCAN
State: PBEsol geometry Values from VASP.

Quantum ESPRESSO input file:
```
&SYSTEM
  ibrav = 0, nat = 4, ntyp = 3
/
ATOMIC_SPECIES
Mo 95.94 Mo.upf
Sr 87.62 Sr.upf
Zr 91.22 Zr.upf
CELL_PARAMETERS angstrom
-0.541 0.668 3.919
-2.483 -3.146 0.193
3.812 -2.945 1.028
ATOMIC_POSITIONS crystal
Mo 0.000 0.500 0.000
Mo 0.500 0.000 0.000
Sr 0.500 0.500 0.500
Zr 0.000 0.000 0.500
```

Output
E above lowest polymorph, eV/f.u.: 0.65
DFT formation energy, meV per atom: 1163
DOS(E_F), states/eV/cell: 4.920
SG: P4/mmm
Total energy, eV/cell: -118.093

Record 3
Material: Sr2ZrMo
Method: DFT, meta-GGA SCAN
State: PBEsol geometry Values from VASP.

Quantum ESPRESSO input file:
```
&SYSTEM
  ibrav = 0, nat = 4, ntyp = 3
/
ATOMIC_SPECIES
Mo 95.94 Mo.upf
Sr 87.62 Sr.upf
Zr 91.22 Zr.upf
CELL_PARAMETERS angstrom
5.485 0.000 0.000
0.000 4.281 0.000
0.000 0.000 4.281
ATOMIC_POSITIONS crystal
Mo 0.500 0.000 0.000
Sr 0.000 0.000 0.500
Sr 0.000 0.500 0.000
Zr 0.500 0.500 0.500
```

Output
E above lowest polymorph, eV/f.u.: 2.39
DFT formation energy, meV per atom: 1045
DOS(E_F), states/eV/cell: 5.375
SG: P4/mmm
Total energy, eV/cell: -105.953